# 1
{"formula": "LiLaMg2Ni", "functional": "PBE", "state": "optimized geometry", "cell": [[-4.7006, 0.5751, -1.2139], [0.2885, -3.8827, -2.9566], [-1.2878, -2.8608, 3.6312]], "species": ["Mg", "Mg", "Ni", "Li", "La"], "fractional_positions": [[0.5000, 0.0000, 0.0000], [0.0000, 0.5000, 0.0000], [0.0000, 0.0000, 0.0000], [0.0000, 0.0000, 0.5000], [0.5000, 0.5000, 0.5000]], "n_ef_per_ev_fu": 5.9, "sg": "No. 123", "polymorph_energy_ev_per_fu": 0.52, "dft_energy_ev_per_atom": -3.133, "e_form_mev_per_atom": 28.9}

=====

# 2
{"formula": "LiLa2MgNi", "functional": "PBE", "state": "optimized geometry", "cell": [[5.4079, 0.0000, 0.0000], [0.0000, 5.4079, 0.0000], [0.0000, 0.0000, 5.0678]], "species": ["Ni", "Li", "La", "Mg", "La"], "fractional_positions": [[0.0000, 0.0000, 0.0000], [0.5000, 0.5000, 0.5000], [0.0000, 0.5000, 0.0000], [0.0000, 0.0000, 0.5000], [0.5000, 0.0000, 0.0000]], "n_ef_per_ev_fu": 5.1, "sg": "No. 123", "polymorph_energy_ev_per_fu": 0.00, "dft_energy_ev_per_atom": -3.903, "e_form_mev_per_atom": -73.8}

=====

# 3
{"formula": "LiLaMg2Ni", "functional": "PBE", "state": "optimized geometry", "cell": [[-4.2676, -2.3395, 1.4744], [2.7458, -3.2630, 2.7701], [-0.3287, 3.1239, 4.0057]], "species": ["Li", "Ni", "Mg", "Mg", "La"], "fractional_positions": [[0.5000, 0.5000, 0.5000], [0.0000, 0.0000, 0.0000], [0.0000, 0.5000, 0.0000], [0.5000, 0.0000, 0.0000], [0.0000, 0.0000, 0.5000]], "n_ef_per_ev_fu": 3.8, "sg": "No. 123", "polymorph_energy_ev_per_fu": 0.00, "dft_energy_ev_per_atom": -3.237, "e_form_mev_per_atom": -74.3}

=====

# 4
{"formula": "LiLa2MgNi", "functional": "PBE", "state": "optimized geometry", "cell": [[5.3914, 0.0000, 0.0000], [0.0000, 5.3914, 0.0000], [0.0000, 0.0000, 4.9313]], "species": ["La", "Mg", "Ni", "Li", "La"], "fractional_positions": [[0.0000, 0.5000, 0.0000], [0.5000, 0.5000, 0.5000], [0.0000, 0.0000, 0.0000], [0.0000, 0.0000, 0.5000], [0.5000, 0.0000, 0.0000]], "n_ef_per_ev_fu": 5.5, "sg": "No. 123", "polymorph_energy_ev_per_fu": 0.20, "dft_energy_ev_per_atom": -3.864, "e_form_mev_per_atom": -34.6}

=====

# 5
{"formula": "LiLaMg30O32", "functional": "PBE", "state": "optimized geometry", "cell": [[-4.9969, -6.5800, -2.3867], [5.4228, -5.4974, 3.8026], [-4.4351, 0.7045, 7.3432]], "species": ["Mg", "Mg", "Mg", "Li", "O", "Mg", "O", "La", "O", "O", "Mg", "O", "O", "O", "O", "Mg", "O", "Mg", "O", "Mg", "O", "Mg", "Mg", "O", "Mg", "O", "Mg", "O", "O", "O", "O", "O", "Mg", "Mg", "Mg", "O", "O", "Mg", "Mg", "Mg", "Mg", "Mg", "Mg", "O", "O", "O", "O", "Mg", "O", "O", "O", "Mg", "Mg", "O", "Mg", "Mg", "O", "O", "Mg", "Mg", "Mg", "Mg", "O", "O"], "fractional_positions": [[0.7623, 0.7451, 0.0000], [0.7623, 0.2549, 0.0000], [0.2479, 0.5000, 0.2503], [0.0000, 0.0000, 0.0000], [0.2488, 0.5000, 0.0000], [0.5000, 0.7418, 0.2582], [0.5000, 0.5000, 0.7465], [0.5000, 0.0000, 0.0000], [0.0000, 0.2611, 0.0000], [0.0000, 0.5000, 0.2522], [0.0000, 0.2483, 0.2483], [0.0000, 0.7389, 0.0000], [0.7490, 0.7505, 0.7505], [0.5000, 0.7317, 0.0000], [0.7499, 0.5000, 0.5000], [0.7521, 0.2503, 0.5000], [0.7490, 0.2495, 0.7505], [0.5000, 0.0000, 0.5000], [0.7490, 0.2495, 0.2495], [0.5000, 0.7418, 0.7418], [0.5000, 0.2683, 0.0000], [0.7623, 0.0000, 0.2549], [0.0000, 0.0000, 0.5000], [0.2510, 0.2495, 0.2495], [0.7521, 0.5000, 0.7497], [0.5000, 0.0000, 0.7317], [0.5000, 0.2582, 0.7418], [0.7512, 0.5000, 0.0000], [0.2510, 0.7505, 0.2495], [0.2510, 0.7505, 0.7505], [0.7675, 0.0000, 0.0000], [0.0000, 0.0000, 0.7389], [0.7623, 0.0000, 0.7451], [0.0000, 0.7517, 0.2483], [0.0000, 0.7517, 0.7517], [0.2325, 0.0000, 0.0000], [0.0000, 0.5000, 0.7478], [0.2377, 0.2549, 0.0000], [0.5000, 0.5000, 0.0000], [0.2479, 0.7497, 0.5000], [0.7521, 0.5000, 0.2503], [0.7521, 0.7497, 0.5000], [0.0000, 0.5000, 0.5000], [0.2488, 0.0000, 0.5000], [0.7512, 0.0000, 0.5000], [0.2510, 0.2495, 0.7505], [0.5000, 0.7465, 0.5000], [0.5000, 0.2582, 0.2582], [0.2501, 0.5000, 0.5000], [0.5000, 0.5000, 0.2535], [0.7490, 0.7505, 0.2495], [0.5000, 0.5000, 0.5000], [0.2479, 0.2503, 0.5000], [0.5000, 0.0000, 0.2683], [0.2377, 0.0000, 0.2549], [0.0000, 0.2483, 0.7517], [0.0000, 0.7478, 0.5000], [0.0000, 0.2522, 0.5000], [0.2479, 0.5000, 0.7497], [0.2377, 0.0000, 0.7451], [0.2377, 0.7451, 0.0000], [0.0000, 0.5000, 0.0000], [0.0000, 0.0000, 0.2611], [0.5000, 0.2535, 0.5000]], "n_ef_per_ev_fu": 0.0, "sg": "No. 123", "dft_energy_ev_per_atom": -6.003, "e_form_raw_ev_per_atom": -2.670}

=====

# 6
{"formula": "LiLaMgPb", "functional": "PBE", "state": "optimized geometry", "cell": [[-4.4291, -2.7995, 0.9161], [0.3348, -4.9917, 1.8066], [-1.4507, -1.1244, 4.9924]], "species": ["Pb", "La", "Mg", "Li"], "fractional_positions": [[0.7500, 0.7500, 0.7500], [0.0000, 0.0000, 0.0000], [0.5000, 0.5000, 0.5000], [0.2500, 0.2500, 0.2500]], "n_ef_per_ev_fu": 1.7, "sg": "No. 216", "dft_energy_ev_per_atom": -3.293, "e_form_mev_per_atom": -256.6}

=====

# 7
{"formula": "Li3La2MgPb4", "functional": "PBE", "state": "optimized geometry", "cell": [[-2.8394, 1.4575, 3.4011], [2.3830, -2.5594, 3.0863], [7.1369, 9.1181, 2.0508]], "species": ["La", "Li", "Li", "Pb", "Pb", "Mg", "Pb", "La", "Li", "Pb"], "fractional_positions": [[0.5000, 0.0000, 0.2444], [0.0000, 0.5000, 0.1298], [0.5000, 0.0000, 0.8702], [0.5000, 0.0000, 0.6482], [0.5000, 0.5000, 0.0000], [0.5000, 0.5000, 0.5000], [0.0000, 0.5000, 0.3518], [0.0000, 0.5000, 0.7556], [0.0000, 0.0000, 0.5000], [0.0000, 0.0000, 0.0000]], "n_ef_per_ev_fu": 3.7, "sg": "No. 115", "dft_energy_ev_per_atom": -3.646, "e_form_mev_per_atom": -443.3}

=====

# 8
{"formula": "LiLaMgPb2", "functional": "PBE", "state": "optimized geometry", "cell": [[-2.8598, 0.4123, -3.5677], [1.2646, -4.1529, -1.4935], [-3.9492, -0.8312, 6.0234]], "species": ["Pb", "La", "Li", "Mg", "Pb"], "fractional_positions": [[0.6155, 0.6155, 0.2310], [0.0000, 0.0000, 0.0000], [0.2500, 0.7500, 0.5000], [0.7500, 0.2500, 0.5000], [0.3845, 0.3845, 0.7690]], "n_ef_per_ev_fu": 3.0, "sg": "No. 119", "dft_energy_ev_per_atom": -3.540, "e_form_mev_per_atom": -369.2}

=====

# 9
{"formula": "Li2La3Mg2Pb4", "functional": "PBE", "state": "optimized geometry", "cell": [[4.9027, 0.0000, 0.0000], [-2.4514, 4.2459, 0.0000], [0.0000, 0.0000, 15.3615]], "species": ["Li", "Pb", "La", "Pb", "Mg", "Li", "La", "Pb", "Mg", "La", "Pb"], "fractional_positions": [[0.3333, 0.6667, 0.1356], [0.6667, 0.3333, 0.1236], [0.0000, 0.0000, 0.0000], [0.3333, 0.6667, 0.3697], [0.6667, 0.3333, 0.4329], [0.6667, 0.3333, 0.8644], [0.0000, 0.0000, 0.2661], [0.6667, 0.3333, 0.6303], [0.3333, 0.6667, 0.5671], [0.0000, 0.0000, 0.7339], [0.3333, 0.6667, 0.8764]], "n_ef_per_ev_fu": 5.3, "sg": "No. 164", "dft_energy_ev_per_atom": -3.783, "e_form_mev_per_atom": -453.2}

=====

# 10
{"formula": "LiLaMg2Pd", "functional": "PBE", "state": "optimized geometry", "cell": [[5.0380, 0.0000, 0.0000], [0.0000, 5.0380, 0.0000], [0.0000, 0.0000, 4.8307]], "species": ["La", "Mg", "Mg", "Li", "Pd"], "fractional_positions": [[0.5000, 0.5000, 0.5000], [0.5000, 0.0000, 0.0000], [0.0000, 0.5000, 0.0000], [0.0000, 0.0000, 0.5000], [0.0000, 0.0000, 0.0000]], "n_ef_per_ev_fu": 5.6, "sg": "No. 123", "dft_energy_ev_per_atom": -3.243, "e_form_mev_per_atom": -198.2}

=====

# 11
{"formula": "LiLaMg2Pd4", "functional": "PBE", "state": "optimized geometry", "cell": [[-1.1639, 4.0075, 1.6448], [-3.8972, 0.4894, 2.1662], [2.1383, -0.3897, 8.5790]], "species": ["Pd", "Pd", "Li", "Mg", "Pd", "Pd", "Mg", "La"], "fractional_positions": [[0.8732, 0.8732, 0.3805], [0.6006, 0.6006, 0.1981], [0.5000, 0.5000, 0.5000], [0.7665, 0.7665, 0.7004], [0.3994, 0.3994, 0.8019], [0.1268, 0.1268, 0.6195], [0.2335, 0.2335, 0.2996], [0.0000, 0.0000, 0.0000]], "n_ef_per_ev_fu": 3.4, "sg": "No. 166", "dft_energy_ev_per_atom": -4.514, "e_form_mev_per_atom": -663.9}

=====

# 12
{"formula": "Li2La2PrMg5", "functional": "PBE", "state": "optimized geometry", "cell": [[4.4469, 0.0000, 0.0000], [0.0000, 11.0290, 0.0000], [0.0000, 0.0000, 11.0290]], "species": ["Mg", "La", "Li", "Mg", "Li", "Pr", "Mg", "La", "Mg", "Mg", "Mg", "Pr", "La", "Mg", "Mg", "La", "Li", "Mg", "Mg", "Li"], "fractional_positions": [[0.5000, 0.5000, 0.0000], [0.0000, 0.3183, 0.8183], [0.0000, 0.6126, 0.8874], [0.5000, 0.0589, 0.7819], [0.0000, 0.1126, 0.6126], [0.0000, 0.0000, 0.0000], [0.5000, 0.7819, 0.9411], [0.0000, 0.6817, 0.1817], [0.5000, 0.2819, 0.5589], [0.5000, 0.9411, 0.2181], [0.5000, 0.5589, 0.7181], [0.0000, 0.5000, 0.5000], [0.0000, 0.8183, 0.6817], [0.5000, 0.0000, 0.5000], [0.5000, 0.7181, 0.4411], [0.0000, 0.1817, 0.3183], [0.0000, 0.8874, 0.3874], [0.5000, 0.2181, 0.0589], [0.5000, 0.4411, 0.2819], [0.0000, 0.3874, 0.1126]], "n_ef_per_ev_fu": 11.5, "sg": "No. 127", "dft_energy_ev_per_atom": -2.700, "e_form_mev_per_atom": -56.3}

=====

# 13
{"formula": "LiLaPrMg", "functional": "PBE", "state": "optimized geometry", "cell": [[-4.5730, 1.1191, -2.9328], [-4.2722, -3.5370, 0.0666], [-4.6989, 1.3755, 2.6066]], "species": ["Li", "Pr", "La", "Mg"], "fractional_positions": [[0.5000, 0.5000, 0.5000], [0.2500, 0.2500, 0.2500], [0.7500, 0.7500, 0.7500], [0.0000, 0.0000, 0.0000]], "n_ef_per_ev_fu": 5.7, "sg": "No. 216", "dft_energy_ev_per_atom": -3.294, "e_form_mev_per_atom": 9.8}

=====

# 14
{"formula": "LiLaMgPt2", "functional": "PBE", "state": "optimized geometry", "cell": [[-3.3961, 1.9704, 0.7739], [0.2460, -1.0857, 3.8439], [4.9200, 4.8227, -1.0359]], "species": ["Li", "La", "Pt", "Pt", "Mg"], "fractional_positions": [[0.2500, 0.7500, 0.5000], [0.0000, 0.0000, 0.0000], [0.3918, 0.3918, 0.7835], [0.6082, 0.6082, 0.2165], [0.7500, 0.2500, 0.5000]], "n_ef_per_ev_fu": 2.7, "sg": "No. 119", "dft_energy_ev_per_atom": -4.977, "e_form_mev_per_atom": -873.9}

=====

# 15
{"formula": "LiLa2MgPt", "functional": "PBE", "state": "optimized geometry", "cell": [[-0.3078, -4.3416, 3.6267], [4.5130, 2.0016, 2.7792], [-3.1191, 2.7797, 3.0630]], "species": ["Li", "Pt", "Mg", "La", "La"], "fractional_positions": [[0.5000, 0.5000, 0.5000], [0.0000, 0.0000, 0.0000], [0.0000, 0.0000, 0.5000], [0.5000, 0.0000, 0.0000], [0.0000, 0.5000, 0.0000]], "n_ef_per_ev_fu": 4.6, "sg": "No. 123", "polymorph_energy_ev_per_fu": 0.00, "dft_energy_ev_per_atom": -4.253, "e_form_mev_per_atom": -372.2}

=====

# 16
{"formula": "LiLa2MgPt", "functional": "PBE", "state": "optimized geometry", "cell": [[-5.6242, -0.1431, 0.5124], [0.1931, -5.6191, 0.5501], [0.4324, 0.4930, 4.8833]], "species": ["La", "Li", "La", "Pt", "Mg"], "fractional_positions": [[0.0000, 0.5000, 0.0000], [0.0000, 0.0000, 0.5000], [0.5000, 0.0000, 0.0000], [0.0000, 0.0000, 0.0000], [0.5000, 0.5000, 0.5000]], "n_ef_per_ev_fu": 5.4, "sg": "No. 123", "polymorph_energy_ev_per_fu": 0.07, "dft_energy_ev_per_atom": -4.238, "e_form_mev_per_atom": -357.6}

=====

# 17
{"formula": "LiLaMgRu", "functional": "PBE", "state": "optimized geometry", "cell": [[4.8762, 0.0000, 0.0000], [2.4381, 4.2229, 0.0000], [2.4381, 1.4076, 3.9814]], "species": ["Mg", "Ru", "La", "Li"], "fractional_positions": [[0.0000, 0.0000, 0.0000], [0.2500, 0.2500, 0.2500], [0.5000, 0.5000, 0.5000], [0.7500, 0.7500, 0.7500]], "n_ef_per_ev_fu": 1.5, "sg": "No. 216", "dft_energy_ev_per_atom": -4.479, "e_form_mev_per_atom": -51.0}

=====

# 18
{"formula": "LiLa2MgRu", "functional": "PBE", "state": "optimized geometry", "cell": [[-4.3166, 2.7364, 1.7224], [-2.0087, -0.0181, -5.0053], [-2.5098, -4.6036, 1.0239]], "species": ["Ru", "Mg", "La", "Li", "La"], "fractional_positions": [[0.0000, 0.0000, 0.0000], [0.0000, 0.0000, 0.5000], [0.5000, 0.0000, 0.0000], [0.5000, 0.5000, 0.5000], [0.0000, 0.5000, 0.0000]], "n_ef_per_ev_fu": 4.7, "sg": "No. 123", "polymorph_energy_ev_per_fu": 0.00, "dft_energy_ev_per_atom": -4.633, "e_form_mev_per_atom": -105.0}

=====

# 19
{"formula": "LiLaMg2Ru", "functional": "PBE", "state": "optimized geometry", "cell": [[-4.8041, 1.7092, 1.1960], [0.0327, -2.9407, 4.3339], [2.0487, 3.9119, 2.6389]], "species": ["Li", "La", "Mg", "Mg", "Ru"], "fractional_positions": [[0.5000, 0.5000, 0.5000], [0.0000, 0.0000, 0.5000], [0.0000, 0.5000, 0.0000], [0.5000, 0.0000, 0.0000], [0.0000, 0.0000, 0.0000]], "n_ef_per_ev_fu": 3.5, "sg": "No. 123", "dft_energy_ev_per_atom": -3.848, "e_form_mev_per_atom": 13.5}

=====

# 20
{"formula": "LiLa2MgRu", "functional": "PBE", "state": "optimized geometry", "cell": [[-3.9552, -2.1531, 2.8570], [0.3311, -4.4611, -2.9036], [3.4793, -1.9301, 3.3622]], "species": ["Li", "Mg", "Ru", "La", "La"], "fractional_positions": [[0.0000, 0.0000, 0.5000], [0.5000, 0.5000, 0.5000], [0.0000, 0.0000, 0.0000], [0.5000, 0.0000, 0.0000], [0.0000, 0.5000, 0.0000]], "n_ef_per_ev_fu": 4.0, "sg": "No. 123", "polymorph_energy_ev_per_fu": 0.33, "dft_energy_ev_per_atom": -4.566, "e_form_mev_per_atom": -38.4}

=====

| no. | V (Å³ per cell) |
| --- | --- |
| 1 | 114.7 |
| 2 | 148.2 |
| 3 | 131.6 |
| 4 | 143.3 |
| 5 | 637.2 |
| 6 | 106.4 |
| 7 | 255.8 |
| 8 | 136.6 |
| 9 | 319.8 |
| 10 | 122.6 |
| 11 | 147.5 |
| 12 | 540.9 |
| 13 | 120.7 |
| 14 | 102.0 |
| 15 | 166.3 |
| 16 | 157.2 |
| 17 | 82.0 |
| 18 | 155.4 |
| 19 | 141.1 |
| 20 | 148.2 |